Record 1
Density functional theory data (PBE) for crystalline SbAsPd at its relaxed geometry.

Unit cell a=4.3685 b=4.3685 c=7.4912 alpha=90.00 beta=90.00 gamma=120.00
Atoms (fractional coordinates):
Sb 0.0000 0.0000 0.0000
Sb 0.0000 0.0000 0.5000
As 0.3333 0.6667 0.2500
As 0.6667 0.3333 0.7500
Pd 0.3333 0.6667 0.7500
Pd 0.6667 0.3333 0.2500

Computed properties:
V = 20.635 Å³/atom
Final energy = -4.69 eV/atom

---

Record 2
Density functional theory data (PBE) for crystalline SbAsPd at its relaxed geometry.

Unit cell a=5.9629 b=3.7813 c=10.7077 alpha=90.00 beta=90.00 gamma=90.00
Atoms (fractional coordinates):
Sb 0.1980 0.2500 0.0960
Sb 0.3020 0.7500 0.5960
Sb 0.6980 0.2500 0.4040
Sb 0.8020 0.7500 0.9040
As 0.1858 0.2500 0.3711
As 0.3142 0.7500 0.8711
As 0.6858 0.2500 0.1289
As 0.8142 0.7500 0.6289
Pd 0.0607 0.2500 0.7538
Pd 0.4393 0.7500 0.2538
Pd 0.5607 0.2500 0.7462
Pd 0.9393 0.7500 0.2462

Computed properties:
V = 20.120 Å³/atom
Final energy = -4.75 eV/atom